[1]
An optimized crystal structure of DyBi3, computed with GGA-PBE.

POSCAR file:
```
DyBi3
1.0
-2.842 -1.211 -3.319
2.364 -4.007 -0.562
-3.750 -2.807 4.236
Bi Dy
3 1
Cartesian
-0.829 -1.609 -1.800
-2.227 -3.821 0.204
0.241 -4.990 1.615
1.740 -2.948 -0.414
```

Summary:
For the magnetic moment, the calculation gives 0.0 μB per cell. Its symmetry is Pmm2, No. 25. The calculation puts the energy relative to the elements at -0.359 eV/atom.

[2]
An optimized crystal structure of MnTcB, computed with GGA-PBE.

POSCAR file:
```
MnTcB
1.0
2.678 0.000 0.000
0.000 2.678 0.000
-1.339 -1.339 4.275
B Mn Tc
1 1 1
Cartesian
1.339 1.339 0.840
1.339 1.339 4.087
0.000 0.000 2.340
```

Summary:
For the magnetic moment, the calculation gives 0.0 μB per cell. The energy above the most stable polymorph in this dataset is 182.3 meV/atom. Its symmetry is I4mm, No. 107. The calculation puts the energy relative to the elements at -0.102 eV/atom.

[3]
An optimized crystal structure of La2PrOs, computed with GGA-PBE.

POSCAR file:
```
La2PrOs
1.0
3.982 0.000 0.000
1.991 3.448 0.000
1.991 1.149 10.658
Pr Os La
1 1 2
Cartesian
0.000 0.000 0.000
3.982 2.299 5.329
1.991 1.149 6.957
5.972 3.448 3.701
```

Summary:
For the magnetic moment, the calculation gives 0.0 μB per cell. The energy above the most stable polymorph in this dataset is 343.2 meV/atom. Its symmetry is R-3m, No. 166. The calculation puts the energy relative to the elements at 0.217 eV/atom.

[4]
An optimized crystal structure of Na4Hg5Sb2, computed with GGA-PBE.

POSCAR file:
```
Na4Hg5Sb2
1.0
3.341 0.000 0.000
0.000 8.328 -0.199
0.000 -1.056 10.600
Na Hg Sb
4 5 2
Cartesian
1.671 5.365 5.804
1.671 0.519 9.468
1.671 1.908 4.597
1.671 6.753 0.934
0.000 4.173 3.055
0.000 1.341 1.569
0.000 4.164 -0.100
0.000 5.931 8.832
0.000 3.099 7.347
0.000 -0.109 6.708
0.000 7.381 3.693
```

Summary:
For the magnetic moment, the calculation gives 0.0 μB per cell. Its symmetry is P2/m, No. 10.

[5]
An optimized crystal structure of Pr2HoTm5Th, computed with GGA-PBE.

POSCAR file:
```
Pr2HoTm5Th
1.0
8.663 0.000 0.000
0.000 8.663 0.000
-4.331 -4.331 7.678
Pr Ho Tm Th
4 2 10 2
Cartesian
1.012 3.319 0.000
5.344 1.012 0.000
3.319 7.650 0.000
7.650 5.344 0.000
0.000 4.331 3.839
4.331 0.000 3.839
6.809 2.478 2.160
2.478 -1.854 5.518
-2.478 1.854 5.518
-1.854 -2.478 5.518
1.854 2.478 5.518
6.185 6.809 2.160
2.478 1.854 2.160
1.854 6.185 2.160
4.331 4.331 0.000
0.000 0.000 0.000
0.000 0.000 3.839
4.331 4.331 3.839
```

Summary:
For the magnetic moment, the calculation gives 0.0 μB per cell. Its symmetry is I4/mcm, No. 140. The calculation puts the energy relative to the elements at 0.295 eV/atom.

[6]
An optimized crystal structure of LiGaCu, computed with GGA-PBE.

POSCAR file:
```
LiGaCu
1.0
-0.701 -1.917 1.783
3.431 -2.299 -1.123
0.282 2.852 3.178
Cu Ga Li
1 1 1
Cartesian
0.990 0.201 2.613
2.022 -1.564 1.224
0.000 -0.001 0.001
```

Summary:
For the magnetic moment, the calculation gives 0.0 μB per cell. Its symmetry is P3m1, No. 156. The calculation puts the energy relative to the elements at -0.204 eV/atom.

Number 1: energy -4.4206 eV/atom. Number 2: energy -8.8401 eV/atom. Number 3: energy -6.2493 eV/atom. Number 4: energy -1.5795 eV/atom. Number 5: energy -4.5841 eV/atom. Number 6: energy -3.2167 eV/atom.